A plane-wave DFT calculation with PBE with a Hubbard U was carried out for K2HfVO6 after structural relaxation.

Results
For the total energy, the calculation gives -6.96 eV per atom.

Unit cell a=5.401 b=6.193 c=6.193 alpha=120.00 beta=90.00 gamma=90.00
Positions (direct):
K1 0.119 0.333 0.667
O1 0.224 0.275 0.138
V1 0.000 0.000 0.000
O2 0.776 0.725 0.862
O3 0.776 0.138 0.862
O4 0.224 0.862 0.725
O5 0.224 0.862 0.138
O6 0.776 0.138 0.275
K2 0.881 0.667 0.333
Hf1 0.500 0.000 0.000